No. 1
# PBE PaTcAg, optimized geometry
data_PaTcAg
_cell_length_a 3.5995
_cell_length_b 3.5995
_cell_length_c 9.4630
_cell_angle_alpha 90.00
_cell_angle_beta 90.00
_cell_angle_gamma 90.00
_space_group_name_H-M_alt 'P 4/n m m'
_space_group_IT_number 129
loop_
_space_group_symop_operation_xyz
'x,y,z'
'-x,-y,-z'
'-y+1/2,x,z'
'y+1/2,-x,-z'
'-x+1/2,-y+1/2,z'
'x+1/2,y+1/2,-z'
'y,-x+1/2,z'
'-y,x+1/2,-z'
'x+1/2,-y,-z'
'-x+1/2,y,z'
'-y,-x,-z'
'y,x,z'
'-x,y+1/2,-z'
'x,-y+1/2,z'
'y+1/2,x+1/2,-z'
'-y+1/2,-x+1/2,z'
loop_
_atom_site_label
_atom_site_fract_x
_atom_site_fract_y
_atom_site_fract_z
_atom_site_occupancy
Pa1 0.2500 0.2500 0.2117 1
Tc1 0.2500 0.2500 0.8820 1
Ag1 0.2500 0.2500 0.5692 1
# Formation energy from the elements (meV/atom): 57
# Calculated density (g/cm3): 11.83
# Uncorrected energy (eV per atom): -7.514



No. 2
# PBE TlIrSeN2, optimized geometry
data_TlIrSeN2
_cell_length_a 3.8956
_cell_length_b 3.8956
_cell_length_c 5.6534
_cell_angle_alpha 90.00
_cell_angle_beta 90.00
_cell_angle_gamma 90.00
_space_group_name_H-M_alt 'P 4/m m m'
_space_group_IT_number 123
_space_group_name_Hall '-P 4 2'
loop_
_atom_site_label
_atom_site_fract_x
_atom_site_fract_y
_atom_site_fract_z
_atom_site_occupancy
Tl1 0.0000 0.0000 0.0000 1
Ir1 0.5000 0.5000 0.5000 1
Se1 0.5000 0.5000 0.0000 1
N1 0.0000 0.5000 0.5000 1
# Calculated density (g/cm3): 9.75
# Energy above the most stable polymorph in this dataset (meV per atom): 0
# Uncorrected energy (eV per atom): -5.501



No. 3
# PBE BaReSeBr2, optimized geometry
data_BaReSeBr2
_cell_length_a 6.1667
_cell_length_b 6.1667
_cell_length_c 6.3697
_cell_angle_alpha 90.00
_cell_angle_beta 90.00
_cell_angle_gamma 90.00
_space_group_name_H-M_alt 'P 4/m m m'
_space_group_IT_number 123
_space_group_name_Hall '-P 4 2'
loop_
_atom_site_label
_atom_site_fract_x
_atom_site_fract_y
_atom_site_fract_z
_atom_site_occupancy
Ba1 0.0000 0.0000 0.0000 1
Re1 0.5000 0.5000 0.5000 1
Se1 0.0000 0.0000 0.5000 1
Br1 0.0000 0.5000 0.0000 1
# Calculated density (g/cm3): 3.85
# Energy above the most stable polymorph in this dataset (meV per atom): 1035
# Uncorrected energy (eV per atom): -3.676



No. 4
# PBE NaNd4Cd5, optimized geometry
data_NaNd4Cd5
_cell_length_a 3.8237
_cell_length_b 3.8237
_cell_length_c 19.4040
_cell_angle_alpha 90.00
_cell_angle_beta 90.00
_cell_angle_gamma 90.00
_space_group_name_H-M_alt 'P 4/m m m'
_space_group_IT_number 123
_space_group_name_Hall '-P 4 2'
loop_
_atom_site_label
_atom_site_fract_x
_atom_site_fract_y
_atom_site_fract_z
_atom_site_occupancy
Na1 0.0000 0.0000 0.0000 1
Nd1 0.0000 0.0000 0.1983 1
Nd2 0.0000 0.0000 0.3992 1
Cd1 0.5000 0.5000 0.0990 1
Cd2 0.5000 0.5000 0.2994 1
Cd3 0.5000 0.5000 0.5000 1
# Formation energy from the elements (meV/atom): -263
# Calculated density (g/cm3): 6.80
# Uncorrected energy (eV per atom): -2.760